A | Computed, not measured: a relaxed structure of Sc3BiIr at the PBE level of DFT.

As for the spin magnetization: 0.00 μB per cell. The density of states at the Fermi level is 1.6014 states/eV/atom.

Cell: 5.0647 5.0647 5.0647 Å, 90.00 90.00 90.00°
Space group Pm-3m (No. 221)
Symmetry-distinct sites (fractional):
Sc: 0.0000 0.0000 0.5000 [3 per cell]
Bi: 0.5000 0.5000 0.5000 [1 per cell]
Ir: 0.0000 0.0000 0.0000 [1 per cell]


B | Computed, not measured: a relaxed structure of Sc3BiIr at the PBE level of DFT.

As for the spin magnetization: 1.03 μB per cell. The density of states at the Fermi level is 1.8374 states/eV/atom.

Cell: 5.2675 5.2675 5.2675 Å, 90.00 90.00 90.00°
Space group Pm-3m (No. 221)
Symmetry-distinct sites (fractional):
Sc: 0.0000 0.0000 0.5000 [3 per cell]
Bi: 0.0000 0.0000 0.0000 [1 per cell]
Ir: 0.5000 0.5000 0.5000 [1 per cell]


Quick ranking, most stable first: A, B.


A | Computed, not measured: a relaxed structure of ScBi2Ir at the PBE level of DFT.

As for the spin magnetization: 0.00 μB per cell. The density of states at the Fermi level is 0.3935 states/eV/atom.

Cell: 4.5259 4.5259 19.4754 Å, 90.00 90.00 90.00°
Space group I-42d (No. 122)
Symmetry-distinct sites (fractional):
Sc: 0.0000 0.0000 0.0000 [4 per cell]
Bi: 0.2355 0.2500 0.6250 [8 per cell]
Ir: 0.0000 0.0000 0.5000 [4 per cell]


B | Computed, not measured: a relaxed structure of ScBi2Ir at the PBE level of DFT.

As for the spin magnetization: 2.07 μB per cell. The density of states at the Fermi level is 1.1406 states/eV/atom.

Cell: 7.1075 7.1075 7.1075 Å, 90.00 90.00 90.00°
Space group Fm-3m (No. 225)
Symmetry-distinct sites (fractional):
Sc: 0.0000 0.0000 0.0000 [4 per cell]
Bi: 0.2500 0.2500 0.2500 [8 per cell]
Ir: 0.0000 0.0000 0.5000 [4 per cell]


Quick ranking, most stable first: B, A.


A | Computed, not measured: a relaxed structure of Sm4BiIr at the PBE level of DFT.

As for the spin magnetization: 0.00 μB per cell. The density of states at the Fermi level is 1.0926 states/eV/atom.

Cell: 8.3471 4.1994 19.7797 Å, 90.00 90.00 90.00°
Space group Pnma (No. 62)
Symmetry-distinct sites (fractional):
Sm: 0.0078 0.2500 0.0673 [4 per cell]
Sm: 0.0309 0.2500 0.7847 [4 per cell]
Sm: 0.1384 0.2500 0.5507 [4 per cell]
Sm: 0.1515 0.2500 0.3584 [4 per cell]
Bi: 0.2302 0.7500 0.6901 [4 per cell]
Ir: 0.2495 0.2500 0.9533 [4 per cell]


B | Computed, not measured: a relaxed structure of Sm4BiIr at the PBE level of DFT.

As for the spin magnetization: 0.00 μB per cell. The density of states at the Fermi level is 1.0739 states/eV/atom.

Cell: 9.1313 13.8967 6.1751 Å, 90.00 113.58 90.00°
Space group C2/c (No. 15)
Symmetry-distinct sites (fractional):
Sm: 0.1120 0.1737 0.0695 [8 per cell]
Sm: 0.2224 0.4278 0.3436 [8 per cell]
Bi: 0.0000 0.3748 0.7500 [4 per cell]
Ir: 0.0000 0.0000 0.2500 [4 per cell]


Quick ranking, most stable first: A, B.


A | Computed, not measured: a relaxed structure of SnBi3Ir at the PBE level of DFT.

As for the spin magnetization: 0.00 μB per cell. The density of states at the Fermi level is 0.5033 states/eV/atom.

Cell: 11.2027 9.0297 6.9952 Å, 90.00 127.98 90.00°
Space group C2/m (No. 12)
Symmetry-distinct sites (fractional):
Sn: 0.0561 0.0000 0.2635 [4 per cell]
Bi: 0.0492 0.5000 0.3183 [4 per cell]
Bi: 0.2292 0.1980 0.7551 [8 per cell]
Ir: 0.2394 0.0000 0.1156 [4 per cell]


B | Computed, not measured: a relaxed structure of SnBi3Ir at the PBE level of DFT.

As for the spin magnetization: 0.00 μB per cell. The density of states at the Fermi level is 1.1926 states/eV/atom.

Cell: 5.4057 5.4057 5.4057 Å, 90.00 90.00 90.00°
Space group Pm-3m (No. 221)
Symmetry-distinct sites (fractional):
Sn: 0.0000 0.0000 0.0000 [1 per cell]
Bi: 0.0000 0.5000 0.5000 [3 per cell]
Ir: 0.5000 0.5000 0.5000 [1 per cell]


Quick ranking, most stable first: A, B.


A | Computed, not measured: a relaxed structure of SrBi3Ir at the PBE level of DFT.

As for the spin magnetization: 2.22 μB per cell. The density of states at the Fermi level is 2.3947 states/eV/atom.

Cell: 5.9377 5.9377 5.9377 Å, 90.00 90.00 90.00°
Space group Pm-3m (No. 221)
Symmetry-distinct sites (fractional):
Sr: 0.0000 0.0000 0.0000 [1 per cell]
Bi: 0.0000 0.0000 0.5000 [3 per cell]
Ir: 0.5000 0.5000 0.5000 [1 per cell]


B | Computed, not measured: a relaxed structure of SrBi3Ir at the PBE level of DFT.

As for the spin magnetization: 0.00 μB per cell. The density of states at the Fermi level is 0.7713 states/eV/atom.

Cell: 5.4967 5.4967 5.4967 Å, 90.00 90.00 90.00°
Space group Pm-3m (No. 221)
Symmetry-distinct sites (fractional):
Sr: 0.0000 0.0000 0.0000 [1 per cell]
Bi: 0.0000 0.5000 0.5000 [3 per cell]
Ir: 0.5000 0.5000 0.5000 [1 per cell]


Quick ranking, most stable first: B, A.


A | Computed, not measured: a relaxed structure of TaBi3Ir at the PBE level of DFT.

As for the spin magnetization: 1.20 μB per cell. The density of states at the Fermi level is 1.0154 states/eV/atom.

Cell: 5.3921 5.3921 5.3921 Å, 90.00 90.00 90.00°
Space group Pm-3m (No. 221)
Symmetry-distinct sites (fractional):
Ta: 0.0000 0.0000 0.0000 [1 per cell]
Bi: 0.0000 0.0000 0.5000 [3 per cell]
Ir: 0.5000 0.5000 0.5000 [1 per cell]


B | Computed, not measured: a relaxed structure of TaBi3Ir at the PBE level of DFT.

As for the spin magnetization: 0.00 μB per cell. The density of states at the Fermi level is 1.5389 states/eV/atom.

Cell: 5.2739 5.2739 5.2739 Å, 90.00 90.00 90.00°
Space group Pm-3m (No. 221)
Symmetry-distinct sites (fractional):
Ta: 0.0000 0.0000 0.0000 [1 per cell]
Bi: 0.0000 0.5000 0.5000 [3 per cell]
Ir: 0.5000 0.5000 0.5000 [1 per cell]


Quick ranking, most stable first: B, A.


A | Computed, not measured: a relaxed structure of Tb3BiIr at the PBE level of DFT.

As for the spin magnetization: 0.00 μB per cell. The density of states at the Fermi level is 0.6155 states/eV/atom.

Cell: 7.8373 4.3466 16.5976 Å, 90.00 90.00 90.00°
Space group Pnma (No. 62)
Symmetry-distinct sites (fractional):
Tb: 0.0147 0.2500 0.0902 [4 per cell]
Tb: 0.1358 0.7500 0.4499 [4 per cell]
Tb: 0.1744 0.2500 0.7035 [4 per cell]
Bi: 0.1284 0.2500 0.2997 [4 per cell]
Ir: 0.2362 0.7500 0.0416 [4 per cell]


B | Computed, not measured: a relaxed structure of Tb3BiIr at the PBE level of DFT.

As for the spin magnetization: 0.00 μB per cell. The density of states at the Fermi level is 0.7133 states/eV/atom.

Cell: 4.4045 6.9064 9.3770 Å, 90.00 90.00 90.00°
Space group Pmmn (No. 59, origin choice 2)
Symmetry-distinct sites (fractional):
Tb: 0.2500 0.0031 0.1485 [4 per cell]
Tb: 0.2500 0.2500 0.5928 [2 per cell]
Bi: 0.2500 0.7500 0.6442 [2 per cell]
Ir: 0.2500 0.2500 0.8980 [2 per cell]


Quick ranking, most stable first: A, B.


A | Computed, not measured: a relaxed structure of TcBi2Ir at the PBE level of DFT.

As for the spin magnetization: 0.00 μB per cell. The density of states at the Fermi level is 0.9654 states/eV/atom.

Cell: 6.1509 6.1509 12.2593 Å, 90.00 90.00 90.00°
Space group I-42d (No. 122)
Symmetry-distinct sites (fractional):
Tc: 0.0000 0.0000 0.0000 [4 per cell]
Bi: 0.2493 0.2500 0.6250 [8 per cell]
Ir: 0.0000 0.0000 0.5000 [4 per cell]


B | Computed, not measured: a relaxed structure of TcBi2Ir at the PBE level of DFT.

As for the spin magnetization: 3.81 μB per cell. The density of states at the Fermi level is 1.4472 states/eV/atom.

Cell: 6.8559 6.8559 6.8559 Å, 90.00 90.00 90.00°
Space group Fm-3m (No. 225)
Symmetry-distinct sites (fractional):
Tc: 0.0000 0.0000 0.0000 [4 per cell]
Bi: 0.2500 0.2500 0.2500 [8 per cell]
Ir: 0.0000 0.0000 0.5000 [4 per cell]


Quick ranking, most stable first: B, A.